Entry from Alexandria: crystalline GaHg6F12 at its relaxed geometry (PBE-GGA).

a b c (Å): 6.906 6.906 6.906
angles (deg): 98.38 98.38 98.38
Fractional coordinates of all 19 atoms:
Ga 0.000 0.000 0.000
Hg 0.137 0.606 0.298
Hg 0.298 0.137 0.606
Hg 0.394 0.702 0.863
Hg 0.606 0.298 0.137
Hg 0.702 0.863 0.394
Hg 0.863 0.394 0.702
F 0.021 0.720 0.940
F 0.060 0.979 0.280
F 0.173 0.430 0.600
F 0.280 0.060 0.979
F 0.400 0.827 0.570
F 0.430 0.600 0.173
F 0.570 0.400 0.827
F 0.600 0.173 0.430
F 0.720 0.940 0.021
F 0.827 0.570 0.400
F 0.940 0.021 0.720
F 0.979 0.280 0.060

Its uncorrected formation energy is -1.5211 eV/atom. As for the energy: -2.9576 eV/atom.